Record 1
Entry from Alexandria: a relaxed Li3Cd2In4 crystal (PBE-GGA).

Geometry as CIF:
```
data_Li3Cd2In4
_chemical_formula_sum 'Li6 Cd4 In8'
_symmetry_space_group_name_H-M 'C 1 2/m 1'
_symmetry_Int_Tables_number 12
_cell_length_a 9.0587
_cell_length_b 5.1421
_cell_length_c 9.6382
_cell_angle_alpha 90.00
_cell_angle_beta 116.83
_cell_angle_gamma 90.00
loop_
_symmetry_equiv_pos_as_xyz
'x,y,z'
'-x,-y,-z'
'-x,y,-z'
'x,-y,z'
'x+1/2,y+1/2,z'
'-x+1/2,-y+1/2,-z'
'-x+1/2,y+1/2,-z'
'x+1/2,-y+1/2,z'
loop_
_atom_site_label
_atom_site_type_symbol
_atom_site_fract_x
_atom_site_fract_y
_atom_site_fract_z
_atom_site_occupancy
Li1 Li 0.0000 0.0000 0.0000 1
Li2 Li 0.1635 0.5000 0.6600 1
Cd1 Cd 0.1605 0.5000 0.3258 1
In1 In 0.0092 0.0000 0.3428 1
In2 In 0.1749 0.5000 0.0091 1
```

Computed properties:
ΔE to the lowest computed polymorph: 11.2 meV per atom
DFT formation energy: -16 kJ per mole of atoms
D(E_F): 4.83 states/eV/cell
total energy: -39.950 eV/cell


Record 2
Entry from Alexandria: a relaxed Cs2HfPaO6 crystal (PBE-GGA).

Geometry as CIF:
```
data_Cs2HfPaO6
_chemical_formula_sum 'Cs8 Hf4 Pa4 O24'
_symmetry_space_group_name_H-M 'F m -3 m'
_symmetry_Int_Tables_number 225
_symmetry_space_group_name_Hall '-F 4 2 3'
_cell_length_a 8.7218
_cell_length_b 8.7218
_cell_length_c 8.7218
_cell_angle_alpha 90.00
_cell_angle_beta 90.00
_cell_angle_gamma 90.00
loop_
_atom_site_label
_atom_site_type_symbol
_atom_site_fract_x
_atom_site_fract_y
_atom_site_fract_z
_atom_site_occupancy
Cs1 Cs 0.2500 0.2500 0.2500 1
Hf1 Hf 0.0000 0.0000 0.0000 1
Pa1 Pa 0.0000 0.0000 0.5000 1
O1 O 0.0000 0.0000 0.2452 1
```

Computed properties:
D(E_F): 29.63 states/eV/cell
total energy: -311.975 eV/cell
formation energy (no corrections): -2709 meV per atom


Record 3
Entry from Alexandria: a relaxed RbAlPCl2 crystal (PBE-GGA).

Geometry as CIF:
```
data_RbAlPCl2
_chemical_formula_sum 'Rb1 Al1 P1 Cl2'
_symmetry_space_group_name_H-M 'P 4/m m m'
_symmetry_Int_Tables_number 123
_symmetry_space_group_name_Hall '-P 4 2'
_cell_length_a 5.1908
_cell_length_b 5.1908
_cell_length_c 4.6659
_cell_angle_alpha 90.00
_cell_angle_beta 90.00
_cell_angle_gamma 90.00
loop_
_atom_site_label
_atom_site_type_symbol
_atom_site_fract_x
_atom_site_fract_y
_atom_site_fract_z
_atom_site_occupancy
Rb1 Rb 0.0000 0.0000 0.0000 1
Al1 Al 0.5000 0.5000 0.5000 1
P1 P 0.5000 0.5000 0.0000 1
Cl1 Cl 0.0000 0.5000 0.5000 1
```

Computed properties:
ΔE to the lowest computed polymorph: 0.0 meV per atom
D(E_F): 2.04 states/eV/cell
total energy: -17.763 eV/cell
formation energy (no corrections): -790 meV per atom


Record 4
Entry from Alexandria: a relaxed CrFe2Ir crystal (PBE-GGA).

Geometry as CIF:
```
data_CrFe2Ir
_chemical_formula_sum 'Cr4 Fe8 Ir4'
_symmetry_space_group_name_H-M 'I -4 2 d'
_symmetry_Int_Tables_number 122
_symmetry_space_group_name_Hall 'I -4 2bw'
_cell_length_a 3.5487
_cell_length_b 3.5487
_cell_length_c 16.5344
_cell_angle_alpha 90.00
_cell_angle_beta 90.00
_cell_angle_gamma 90.00
loop_
_atom_site_label
_atom_site_type_symbol
_atom_site_fract_x
_atom_site_fract_y
_atom_site_fract_z
_atom_site_occupancy
Cr1 Cr 0.0000 0.0000 0.0000 1
Fe1 Fe 0.2116 0.2500 0.1250 1
Ir1 Ir 0.0000 0.0000 0.5000 1
```

Computed properties:
DFT formation energy: 58 kJ per mole of atoms
D(E_F): 27.33 states/eV/cell
total energy: -131.944 eV/cell


Record 5
Entry from Alexandria: a relaxed TlHg2Ir crystal (PBE-GGA).

Geometry as CIF:
```
data_TlHg2Ir
_chemical_formula_sum 'Tl2 Hg4 Ir2'
_symmetry_space_group_name_H-M 'C m m m'
_symmetry_Int_Tables_number 65
_symmetry_space_group_name_Hall '-C 2 2'
_cell_length_a 3.1301
_cell_length_b 5.2415
_cell_length_c 10.7978
_cell_angle_alpha 90.00
_cell_angle_beta 90.00
_cell_angle_gamma 90.00
loop_
_atom_site_label
_atom_site_type_symbol
_atom_site_fract_x
_atom_site_fract_y
_atom_site_fract_z
_atom_site_occupancy
Tl1 Tl 0.0000 0.0000 0.0000 1
Hg1 Hg 0.0000 0.5000 0.2839 1
Ir1 Ir 0.0000 0.0000 0.5000 1
```

Computed properties:
ΔE to the lowest computed polymorph: 211.5 meV per atom
DFT formation energy: 47 kJ per mole of atoms
D(E_F): 4.38 states/eV/cell
total energy: -19.748 eV/cell


Record 6
Entry from Alexandria: a relaxed Cd2NiP crystal (PBE-GGA).

Geometry as CIF:
```
data_Cd2NiP
_chemical_formula_sum 'Cd6 Ni3 P3'
_symmetry_space_group_name_H-M 'R 3 m'
_symmetry_Int_Tables_number 160
_symmetry_space_group_name_Hall 'R 3 -2"'
_cell_length_a 3.1470
_cell_length_b 3.1470
_cell_length_c 25.2945
_cell_angle_alpha 90.00
_cell_angle_beta 90.00
_cell_angle_gamma 120.00
loop_
_atom_site_label
_atom_site_type_symbol
_atom_site_fract_x
_atom_site_fract_y
_atom_site_fract_z
_atom_site_occupancy
Cd1 Cd 0.0000 0.0000 0.0000 1
Cd2 Cd 0.0000 0.0000 0.2280 1
Ni1 Ni 0.0000 0.0000 0.4772 1
P1 P 0.0000 0.0000 0.7613 1
```

Computed properties:
DFT formation energy: -2 kJ per mole of atoms
D(E_F): 6.47 states/eV/cell
total energy: -39.266 eV/cell


Look up the D(E_F) of the first one. 4.83 states/eV/cell


What is the D(E_F) in the sixth record? 6.47 states/eV/cell


Which of these has the highest D(E_F)? Cs2HfPaO6


Which value of D(E_F) does entry 3 give? 2.04 states/eV/cell